A plane-wave DFT calculation with PBE with a Hubbard U was carried out for an optimized crystal structure of Sr5VN4F2.

VASP energy = -5.817 eV/atom
SG = Amm2, No. 38
ρ = 4.35 g/cm³
Volume = 18.53 A^3/atom

a b c (Å): 6.0619 5.8140 7.3927
angles (deg): 90.00 90.00 121.42
Fractional coordinates of all 12 atoms:
N: 0.0709 0.6919 0.0000
N: 0.3790 0.3081 0.0000
V: 0.4052 0.0000 0.0000
Sr: 0.4032 0.0000 0.5000
Sr: 0.7187 0.6444 0.2244
N: 0.5877 0.0000 0.7969
Sr: 0.7187 0.6444 0.7756
N: 0.5877 0.0000 0.2031
F: 0.4201 0.4543 0.5000
Sr: 0.0743 0.3556 0.2244
Sr: 0.0743 0.3556 0.7756
F: 0.9658 0.5457 0.5000